1.
{"formula": "Tl12Hg6As", "functional": "PBE", "state": "relaxed", "cell": [[5.8641, 3.3856, 4.7537], [-5.8641, 3.3856, 4.7537], [0.0000, -6.7713, 4.7537]], "species": ["Tl", "Tl", "Tl", "Tl", "Tl", "Tl", "Tl", "Tl", "Tl", "Tl", "Tl", "Tl", "Hg", "Hg", "Hg", "Hg", "Hg", "Hg", "As"], "fractional_positions": [[0.0221, 0.3090, 0.9219], [0.0781, 0.9779, 0.6910], [0.1345, 0.3571, 0.4612], [0.3090, 0.9219, 0.0221], [0.3571, 0.4612, 0.1345], [0.4612, 0.1345, 0.3571], [0.5388, 0.8655, 0.6429], [0.6429, 0.5388, 0.8655], [0.6910, 0.0781, 0.9779], [0.8655, 0.6429, 0.5388], [0.9219, 0.0221, 0.3090], [0.9779, 0.6910, 0.0781], [0.2321, 0.6122, 0.7627], [0.2373, 0.7679, 0.3878], [0.3878, 0.2373, 0.7679], [0.6122, 0.7627, 0.2321], [0.7627, 0.2321, 0.6122], [0.7679, 0.3878, 0.2373], [0.5000, 0.5000, 0.5000]], "polymorph_energy_ev_per_atom": 0.011, "sg": "R-3, No. 148", "formation_energy_ev_per_atom": 0.035}


2.
{"formula": "Tl5HgAs", "functional": "PBE", "state": "relaxed", "cell": [[4.8857, -6.1754, 0.0000], [4.8857, 6.1754, 0.0000], [-3.4548, 0.0000, 7.2665]], "species": ["Tl", "Tl", "Tl", "Tl", "Tl", "Tl", "Tl", "Tl", "Tl", "Tl", "Hg", "Hg", "As", "As"], "fractional_positions": [[0.1388, 0.3645, 0.8815], [0.1980, 0.8020, 0.7500], [0.2156, 0.5164, 0.3716], [0.3645, 0.1388, 0.3815], [0.4836, 0.7844, 0.1284], [0.5164, 0.2156, 0.8716], [0.6355, 0.8612, 0.6185], [0.7844, 0.4836, 0.6284], [0.8020, 0.1980, 0.2500], [0.8612, 0.6355, 0.1185], [0.0000, 0.0000, 0.0000], [0.0000, 0.0000, 0.5000], [0.4642, 0.5358, 0.7500], [0.5358, 0.4642, 0.2500]], "sg": "C2/c, No. 15", "formation_energy_ev_per_atom": 0.040}


3.
{"formula": "TlHgAs", "functional": "PBE", "state": "relaxed", "cell": [[-1.7154, 1.7154, 6.5126], [1.7154, -1.7154, 6.5126], [1.7154, 1.7154, -6.5126]], "species": ["Tl", "Hg", "As"], "fractional_positions": [[0.0000, 0.0000, 0.0000], [0.3128, 0.3128, 0.0000], [0.6684, 0.6684, 0.0000]], "sg": "I4mm, No. 107", "formation_energy_ev_per_atom": 0.226}


4.
{"formula": "TlHgAs2", "functional": "PBE", "state": "relaxed", "cell": [[5.8806, -1.8061, 0.0000], [5.8806, 1.8061, 0.0000], [-2.8328, 0.0000, 5.1989]], "species": ["Tl", "Hg", "As", "As"], "fractional_positions": [[0.0000, 0.0000, 0.0000], [0.8016, 0.8016, 0.2323], [0.2199, 0.2199, 0.5962], [0.5769, 0.5769, 0.5850]], "polymorph_energy_ev_per_atom": 0.042, "sg": "Cm, No. 8", "formation_energy_ev_per_atom": 0.052}


5.
{"formula": "TlHg2As", "functional": "PBE", "state": "relaxed", "cell": [[0.0000, 3.7022, 3.7022], [3.7022, 0.0000, 3.7022], [3.7022, 3.7022, 0.0000]], "species": ["Tl", "Hg", "Hg", "As"], "fractional_positions": [[0.0000, 0.0000, 0.0000], [0.5000, 0.5000, 0.5000], [0.7500, 0.7500, 0.7500], [0.2500, 0.2500, 0.2500]], "polymorph_energy_ev_per_atom": 0.044, "sg": "F-43m, No. 216", "formation_energy_ev_per_atom": 0.160}


6.
{"formula": "TlHgAs", "functional": "PBE", "state": "relaxed", "cell": [[-1.9059, 3.0453, 8.1352], [1.9059, -3.0453, 8.1352], [1.9059, 3.0453, -8.1352]], "species": ["Tl", "Tl", "Hg", "Hg", "As", "As"], "fractional_positions": [[0.1427, 0.1427, 0.0000], [0.8573, 0.8573, 0.0000], [0.3516, 0.3516, 0.0000], [0.6484, 0.6484, 0.0000], [0.1937, 0.5000, 0.6937], [0.8063, 0.5000, 0.3063]], "sg": "Immm, No. 71", "formation_energy_ev_per_atom": 0.117}